w) The following is a GGA-PBE calculation of a geometry-optimized ScCd5Ag3 structure, from Alexandria.

Values from the calculation:
Mass density, Mg/m³: 8.35

Lattice parameters (Å, degrees): 8.5131 8.5131 5.9006 90.00 90.00 120.00
Closest atoms and distances in Å follow each position.
Positions (direct):
Sc (0.0000, 0.0000, 0.0000)  2 Sc 2.95, 6 Cd 3.15, 6 Ag 3.22
Sc (0.0000, 0.0000, 0.5000)  2 Sc 2.95, 6 Cd 3.15, 6 Ag 3.22
Cd (0.0000, 0.3274, 0.2500)  5 Ag 2.83-2.95, 2 Sc 3.15
Cd (0.0000, 0.6726, 0.7500)  5 Ag 2.83-2.95, 2 Sc 3.15
Cd (0.3274, 0.0000, 0.2500)  5 Ag 2.83-2.95, 2 Sc 3.15
Cd (0.3274, 0.3274, 0.7500)  5 Ag 2.83-2.95, 2 Sc 3.15
Cd (0.3333, 0.6667, 0.0000)  8 Cd 2.95-3.22, 6 Ag 3.19
Cd (0.3333, 0.6667, 0.5000)  8 Cd 2.95-3.22, 6 Ag 3.19
Cd (0.6667, 0.3333, 0.0000)  8 Cd 2.95-3.22, 6 Ag 3.19
Cd (0.6667, 0.3333, 0.5000)  8 Cd 2.95-3.22, 6 Ag 3.19
Cd (0.6726, 0.0000, 0.7500)  5 Ag 2.83-2.95, 2 Sc 3.15
Cd (0.6726, 0.6726, 0.2500)  5 Ag 2.83-2.95, 2 Sc 3.15
Ag (0.0000, 0.3362, 0.7500)  5 Cd 2.83-2.95
Ag (0.0000, 0.6638, 0.2500)  5 Cd 2.83-2.95
Ag (0.3362, 0.0000, 0.7500)  5 Cd 2.83-2.95
Ag (0.3362, 0.3362, 0.2500)  5 Cd 2.83-2.95
Ag (0.6638, 0.0000, 0.2500)  5 Cd 2.83-2.95
Ag (0.6638, 0.6638, 0.7500)  5 Cd 2.83-2.95

x) The following is a GGA-PBE calculation of a geometry-optimized ScCd5Ag3 structure, from Alexandria.

Values from the calculation:
Mass density, Mg/m³: 6.88

Lattice parameters (Å, degrees): 7.3106 7.3106 9.9115 109.24 109.24 67.42
Closest atoms and distances in Å follow each position.
Positions (direct):
Sc (0.1207, 0.1207, 0.3052)  4 Ag 2.79-2.85, 3 Cd 3.07-3.09
Sc (0.8793, 0.8793, 0.6948)  4 Ag 2.79-2.85, 3 Cd 3.07-3.09
Cd (0.0451, 0.4129, 0.6360)  3 Ag 2.82-2.97, 3 Cd 2.99-3.13, 1 Sc 3.07
Cd (0.2684, 0.2684, 0.1133)  3 Ag 2.76-3.00, 1 Cd 2.97, 1 Sc 3.09
Cd (0.3259, 0.6741, 0.0000)  1 Ag 2.64, 3 Cd 2.83-2.92
Cd (0.4129, 0.0451, 0.6360)  3 Ag 2.82-2.97, 3 Cd 2.99-3.13, 1 Sc 3.07
Cd (0.4666, 0.4666, 0.7281)  2 Ag 2.77-2.87, 5 Cd 2.92-3.05
Cd (0.5334, 0.5334, 0.2719)  2 Ag 2.77-2.87, 5 Cd 2.92-3.05
Cd (0.5871, 0.9549, 0.3640)  3 Ag 2.82-2.97, 3 Cd 2.99-3.13, 1 Sc 3.07
Cd (0.6741, 0.3259, 0.0000)  1 Ag 2.64, 3 Cd 2.83-2.92
Cd (0.7316, 0.7316, 0.8867)  3 Ag 2.76-3.00, 1 Cd 2.97, 1 Sc 3.09
Cd (0.9549, 0.5871, 0.3640)  3 Ag 2.82-2.97, 3 Cd 2.99-3.13, 1 Sc 3.07
Ag (0.0000, 0.0000, 0.0000)  2 Cd 2.64, 2 Sc 2.79, 2 Ag 2.90
Ag (0.0000, 0.0000, 0.5000)  2 Sc 2.85, 2 Ag 2.88, 4 Cd 2.97
Ag (0.1334, 0.1334, 0.8140)  3 Cd 2.76-2.88, 1 Sc 2.84, 2 Ag 2.88-2.90
Ag (0.3755, 0.3755, 0.4234)  5 Cd 2.77-2.87, 1 Ag 2.80, 1 Sc 2.85
Ag (0.6245, 0.6245, 0.5766)  5 Cd 2.77-2.87, 1 Ag 2.80, 1 Sc 2.85
Ag (0.8666, 0.8666, 0.1860)  3 Cd 2.76-2.88, 1 Sc 2.84, 2 Ag 2.88-2.90

Which is most stable? The ranking, best first, is w), x).